Entry 1:
Compound: MgCo2Ni
Source: Alexandria
Functional: SCAN
Structure: single point on PBEsol structure

Its total energy is -13.827 eV per atom. The value obtained for the total moment is 1.0056 μB/atom.

The space group is I4/mmm (No. 139) and the conventional cell measures 3.513, 3.513 and 7.595 Å, with angles of 90.00, 90.00 and 90.00 degrees. The distinct sites, in fractional coordinates, are Mg at (0.000, 0.000, 0.000), Co at (0.000, 0.500, 0.250) and Ni at (0.000, 0.000, 0.500).

***

Entry 2:
Compound: BaTlSb2
Source: Alexandria
Functional: SCAN
Structure: single point on PBEsol structure

Its total energy is -47.162 eV per atom. The calculation puts the formation energy from raw total energies at -0.5547 eV/atom. The value obtained for the total moment is 0.0000 μB/atom.

The space group is Pm (No. 6) and the conventional cell measures 4.726, 5.140 and 5.423 Å, with angles of 90.00, 90.04 and 90.00 degrees. The distinct sites, in fractional coordinates, are Ba at (0.000, 0.000, 0.000), Tl at (0.001, 0.500, 0.564), Sb at (0.500, 0.000, 0.476) and Sb at (0.500, 0.500, 0.178).

***

Entry 3:
Compound: YCd2Se
Source: Alexandria
Functional: SCAN
Structure: single point on PBEsol structure

Its total energy is -27.921 eV per atom. The calculation puts the formation energy from raw total energies at -0.7338 eV/atom. The value obtained for the total moment is 0.0001 μB/atom.

The space group is P4mm (No. 99) and the conventional cell measures 3.777, 3.777 and 6.532 Å, with angles of 90.00, 90.00 and 90.00 degrees. The distinct sites, in fractional coordinates, are Y at (0.000, 0.000, 0.000), Cd at (0.000, 0.000, 0.508), Cd at (0.500, 0.500, 0.313) and Se at (0.500, 0.500, 0.855).